Density functional theory data (GGA-PBE) for BeO2F2 after structural relaxation.

Results
Its density of states at the Fermi level is 1.2 states/eV/f.u. The calculated volume is 48.9 Å³/cell. The calculation puts the formation energy (no corrections) at 201 kJ/mol of formula units. As for the energy above the most stable polymorph in this dataset: 1.101 eV/atom. For the raw total energy, the calculation gives -3.061 eV/atom.

Cell and atoms, written as CIF:
```
data_BeO2F2
_chemical_formula_sum 'Be1 O2 F2'
_symmetry_space_group_name_H-M 'P 4/m m m'
_symmetry_Int_Tables_number 123
_symmetry_space_group_name_Hall '-P 4 2'
_cell_length_a 3.6682
_cell_length_b 3.6682
_cell_length_c 3.6359
_cell_angle_alpha 90.00
_cell_angle_beta 90.00
_cell_angle_gamma 90.00
loop_
_atom_site_label
_atom_site_fract_x
_atom_site_fract_y
_atom_site_fract_z
Be1 0.0000 0.0000 0.0000
O1 0.5000 0.5000 0.0000
O2 0.5000 0.5000 0.5000
F1 0.0000 0.5000 0.5000
```

Density functional theory data (GGA-PBE) for NdLuGe2 after structural relaxation.

Results
The calculation puts the energy relative to the elements at -670 meV per atom. Its density of states at the Fermi level is 2.3 states/eV/f.u. The calculated volume is 297.3 Å³/cell. For the raw total energy, the calculation gives -5.301 eV/atom.

Cell and atoms, written as CIF:
```
data_NdLuGe2
_chemical_formula_sum 'Nd3 Lu3 Ge6'
_symmetry_space_group_name_H-M 'R -3 m'
_symmetry_Int_Tables_number 166
_symmetry_space_group_name_Hall '-R 3 2"'
_cell_length_a 4.6160
_cell_length_b 4.6160
_cell_length_c 16.1101
_cell_angle_alpha 90.00
_cell_angle_beta 90.00
_cell_angle_gamma 120.00
loop_
_atom_site_label
_atom_site_fract_x
_atom_site_fract_y
_atom_site_fract_z
Nd1 0.0000 0.0000 0.0000
Lu1 0.0000 0.0000 0.5000
Ge1 0.0000 0.0000 0.2393
```

Density functional theory data (GGA-PBE) for TmNbGa2O8 after structural relaxation.

Results
Its density of states at the Fermi level is 9.5 states/eV/f.u. The calculated volume is 301.3 Å³/cell. The calculation puts the formation energy (no corrections) at -2334 kJ/mol of formula units. For the raw total energy, the calculation gives -7.038 eV/atom.

Cell and atoms, written as CIF:
```
data_TmNbGa2O8
_chemical_formula_sum 'Tm2 Nb2 Ga4 O16'
_symmetry_space_group_name_H-M 'I -4 m 2'
_symmetry_Int_Tables_number 119
_symmetry_space_group_name_Hall 'I -4 -2'
_cell_length_a 6.8016
_cell_length_b 6.8016
_cell_length_c 6.5134
_cell_angle_alpha 90.00
_cell_angle_beta 90.00
_cell_angle_gamma 90.00
loop_
_atom_site_label
_atom_site_fract_x
_atom_site_fract_y
_atom_site_fract_z
Tm1 0.0000 0.0000 0.0000
Nb1 0.0000 0.5000 0.7500
Ga1 0.0000 0.0000 0.5000
Ga2 0.0000 0.5000 0.2500
O1 0.0000 0.2037 0.6873
O2 0.0000 0.3220 0.0375
```

Density functional theory data (GGA-PBE) for Hf4Co3Re after structural relaxation.

Results
The calculation puts the energy relative to the elements at -395 meV per atom. Its density of states at the Fermi level is 4.7 states/eV/f.u. The calculated volume is 391.9 Å³/cell. For the raw total energy, the calculation gives -9.592 eV/atom.

Cell and atoms, written as CIF:
```
data_Hf4Co3Re
_chemical_formula_sum 'Hf12 Co9 Re3'
_symmetry_space_group_name_H-M 'R -3 m'
_symmetry_Int_Tables_number 166
_symmetry_space_group_name_Hall '-R 3 2"'
_cell_length_a 4.5275
_cell_length_b 4.5275
_cell_length_c 22.0771
_cell_angle_alpha 90.00
_cell_angle_beta 90.00
_cell_angle_gamma 120.00
loop_
_atom_site_label
_atom_site_fract_x
_atom_site_fract_y
_atom_site_fract_z
Hf1 0.0000 0.0000 0.1237
Hf2 0.0000 0.0000 0.3739
Co1 0.0000 0.0000 0.0000
Co2 0.0000 0.0000 0.2505
Re1 0.0000 0.0000 0.5000
```

Density functional theory data (GGA-PBE) for LiMgZnGa2 after structural relaxation.

Results
The calculation puts the energy relative to the elements at -129 meV per atom. Its density of states at the Fermi level is 1.6 states/eV/f.u. The calculated volume is 182.3 Å³/cell. For the raw total energy, the calculation gives -2.296 eV/atom.

Cell and atoms, written as CIF:
```
data_LiMgZnGa2
_chemical_formula_sum 'Li2 Mg2 Zn2 Ga4'
_symmetry_space_group_name_H-M 'P m m a'
_symmetry_Int_Tables_number 51
_symmetry_space_group_name_Hall '-P 2a 2a'
_cell_length_a 4.9341
_cell_length_b 5.4158
_cell_length_c 6.8236
_cell_angle_alpha 90.00
_cell_angle_beta 90.00
_cell_angle_gamma 90.00
loop_
_atom_site_label
_atom_site_fract_x
_atom_site_fract_y
_atom_site_fract_z
Li1 0.2500 0.0000 0.1330
Mg1 0.2500 0.5000 0.3527
Zn1 0.0000 0.0000 0.5000
Ga1 0.2500 0.2576 0.7964
```

Density functional theory data (GGA-PBE) for ErSi3Rh3 after structural relaxation.

Results
Its density of states at the Fermi level is 2.2 states/eV/f.u. The calculated volume is 247.9 Å³/cell. The calculation puts the formation energy (no corrections) at -504 kJ/mol of formula units. As for the energy above the most stable polymorph in this dataset: 0.000 eV/atom. For the raw total energy, the calculation gives -6.874 eV/atom.

Cell and atoms, written as CIF:
```
data_ErSi3Rh3
_chemical_formula_sum 'Er2 Si6 Rh6'
_symmetry_space_group_name_H-M 'P 63/m'
_symmetry_Int_Tables_number 176
_symmetry_space_group_name_Hall '-P 6c'
_cell_length_a 8.3733
_cell_length_b 8.3733
_cell_length_c 4.0829
_cell_angle_alpha 90.00
_cell_angle_beta 90.00
_cell_angle_gamma 120.00
loop_
_atom_site_label
_atom_site_fract_x
_atom_site_fract_y
_atom_site_fract_z
Er1 0.3333 0.6667 0.2500
Si1 0.0551 0.6239 0.7500
Rh1 0.0660 0.3434 0.7500
```